Entry 1:
First-principles (GGA-PBE) data for a relaxed Na4InPb5 crystal, as listed in Alexandria via LeMat-Bulk.

Calculated values
Spin magnetization (μB per formula unit): 0.00
Volume (Å³ per atom): 29.10
DFT total energy (eV per atom): -2.7563
E_form (meV/atom): -101

Lattice parameters (Å, degrees): 3.376 3.376 25.524 90.00 90.00 90.00
Space group P4/mmm (No. 123)
Asymmetric unit:
Na  0.000  0.000  0.099
Na  0.000  0.000  0.295
In  0.000  0.000  0.500
Pb  0.500  0.500  0.000
Pb  0.500  0.500  0.198
Pb  0.500  0.500  0.399

Entry 2:
First-principles (GGA-PBE) data for a relaxed NaIn3Pb3 crystal, as listed in Alexandria via LeMat-Bulk.

Calculated values
Spin magnetization (μB per formula unit): 0.00
Volume (Å³ per atom): 41.80
ΔE to the lowest computed polymorph (meV/atom): 241
DFT total energy (eV per atom): -2.7098
E_form (meV/atom): 242

Lattice parameters (Å, degrees): 8.364 8.364 8.364 90.00 90.00 90.00
Space group Pm-3n (No. 223)
Asymmetric unit:
Na  0.000  0.000  0.000
In  0.000  0.250  0.500
Pb  0.000  0.500  0.250

Entry 3:
First-principles (GGA-PBE) data for a relaxed Na2In4Pb9 crystal, as listed in Alexandria via LeMat-Bulk.

Calculated values
Spin magnetization (μB per formula unit): 0.00
Volume (Å³ per atom): 29.95
DFT total energy (eV per atom): -3.1683
E_form (meV/atom): -37

Lattice parameters (Å, degrees): 9.220 9.676 11.617 113.68 93.78 105.19
Space group P-1 (No. 2)
Asymmetric unit:
Na  0.099  0.441  0.100
Na  0.303  0.858  0.304
In  0.099  0.119  0.436
In  0.103  0.787  0.766
In  0.296  0.514  0.632
In  0.302  0.184  0.966
Pb  0.094  0.613  0.434
Pb  0.099  0.956  0.099
Pb  0.101  0.278  0.764
Pb  0.295  0.017  0.634
Pb  0.298  0.345  0.303
Pb  0.299  0.683  0.964
Pb  0.494  0.741  0.501
Pb  0.495  0.420  0.834
Pb  0.497  0.914  0.836

Entry 4:
First-principles (GGA-PBE) data for a relaxed NaInPb crystal, as listed in Alexandria via LeMat-Bulk.

Calculated values
Spin magnetization (μB per formula unit): 0.00
Volume (Å³ per atom): 28.54
DFT total energy (eV per atom): -2.6959
E_form (meV/atom): -107

Lattice parameters (Å, degrees): 5.3972 5.3972 3.3944 90.00 90.00 120.00
Space group P3m1 (No. 156)
Asymmetric unit:
Na  0.0000  0.0000  0.0000
In  0.3333  0.6667  0.5908
Pb  0.6667  0.3333  0.4219

Entry 5:
First-principles (GGA-PBE) data for a relaxed NaIn4Pb5 crystal, as listed in Alexandria via LeMat-Bulk.

Calculated values
Spin magnetization (μB per formula unit): 0.00
Volume (Å³ per atom): 30.69
ΔE to the lowest computed polymorph (meV/atom): 36
DFT total energy (eV per atom): -3.0181
E_form (meV/atom): 63

Lattice parameters (Å, degrees): 10.036 10.036 6.094 90.00 90.00 90.00
Space group I4 (No. 79)
Asymmetric unit:
Na  0.000  0.000  0.000
In  0.136  0.753  0.280
Pb  0.000  0.000  0.515
Pb  0.058  0.659  0.782

Entry 6:
First-principles (GGA-PBE) data for a relaxed Na3In2Pb5 crystal, as listed in Alexandria via LeMat-Bulk.

Calculated values
Spin magnetization (μB per formula unit): 0.00
Volume (Å³ per atom): 33.73
ΔE to the lowest computed polymorph (meV/atom): 2
DFT total energy (eV per atom): -2.7801
E_form (meV/atom): 17

Lattice parameters (Å, degrees): 13.542 14.656 6.799 90.00 90.00 90.00
Space group Ibam (No. 72)
Asymmetric unit:
Na  0.000  0.000  0.250
Na  0.127  0.259  0.000
In  0.109  0.151  0.500
Pb  0.000  0.500  0.250
Pb  0.133  0.355  0.500
Pb  0.237  0.000  0.250

Entry 7:
First-principles (GGA-PBE) data for a relaxed Na6InPb12 crystal, as listed in Alexandria via LeMat-Bulk.

Calculated values
Spin magnetization (μB per formula unit): 0.00
Volume (Å³ per atom): 33.68
DFT total energy (eV per atom): -2.9122
E_form (meV/atom): -9

Lattice parameters (Å, degrees): 11.8923 11.8923 15.6743 90.00 90.00 120.00
Space group R-3 (No. 148, hexagonal axes)
Asymmetric unit:
Na  0.0131  0.4732  0.3045
In  0.0000  0.0000  0.0000
Pb  0.0179  0.4656  0.0969
Pb  0.0531  0.8679  0.8381

Entry 8:
First-principles (GGA-PBE) data for a relaxed NaIn4Pb5 crystal, as listed in Alexandria via LeMat-Bulk.

Calculated values
Spin magnetization (μB per formula unit): 0.00
Volume (Å³ per atom): 30.84
ΔE to the lowest computed polymorph (meV/atom): 0
DFT total energy (eV per atom): -3.0544
E_form (meV/atom): 27

Lattice parameters (Å, degrees): 16.122 5.134 8.673 90.00 120.79 90.00
Space group C2/m (No. 12)
Asymmetric unit:
Na  0.000  0.000  0.000
In  0.032  0.500  0.772
In  0.180  0.000  0.934
Pb  0.000  0.000  0.500
Pb  0.169  0.500  0.209
Pb  0.181  0.500  0.613